Material: Na2CdGa4Pt3
Method: DFT, PBE
State: optimized geometry

energy of formation = -4.42 eV per formula unit
DOS(E_F) = 3.56 states/eV/cell

Cell: 4.2154 4.2154 11.1095 Å, 90.00 90.00 90.00°
With the nearest neighbours (Å) after each atom.
Positions (direct):
Na1 0.5000 0.0000 0.2405  6 Pt 3.23-3.57, 8 Ga 3.23-3.40, 2 Cd 3.57
Na2 0.0000 0.5000 0.7595  6 Pt 3.23-3.57, 8 Ga 3.23-3.40, 2 Cd 3.57
Ga1 0.5000 0.0000 0.6484  3 Pt 2.47-2.68, 2 Cd 2.68
Ga2 0.5000 0.5000 0.0000  4 Pt 2.55
Ga3 0.0000 0.5000 0.3516  3 Pt 2.47-2.68, 2 Cd 2.68
Ga4 0.0000 0.0000 0.0000  4 Pt 2.55
Pt1 0.0000 0.0000 0.5000  4 Ga 2.68, 4 Cd 2.98
Pt2 0.0000 0.5000 0.1294  5 Ga 2.47-2.55
Pt3 0.5000 0.0000 0.8706  5 Ga 2.47-2.55
Cd1 0.5000 0.5000 0.5000  4 Ga 2.68, 4 Pt 2.98

Material: Na3Cd2GaPt3
Method: DFT, PBE
State: optimized geometry

energy of formation = -2.62 eV per formula unit
DOS(E_F) = 2.31 states/eV/cell

Cell: 4.0448 7.1400 7.1400 Å, 120.00 90.00 90.00°
With the nearest neighbours (Å) after each atom.
Positions (direct):
Pt1 0.5000 0.0000 0.7674  2 Ga 2.62, 2 Cd 2.81, 2 Pt 2.88
Pt2 0.5000 0.7674 0.0000  2 Ga 2.62, 2 Cd 2.81, 2 Pt 2.88
Pt3 0.5000 0.2326 0.2326  2 Ga 2.62, 2 Cd 2.81, 2 Pt 2.88
Na1 0.0000 0.4049 0.0000  1 Ga 2.89, 4 Cd 2.97, 4 Pt 3.23
Na2 0.0000 0.5951 0.5951  1 Ga 2.89, 4 Cd 2.97, 4 Pt 3.23
Na3 0.0000 0.0000 0.4049  1 Ga 2.89, 4 Cd 2.97, 4 Pt 3.23
Cd1 0.5000 0.6667 0.3333  3 Pt 2.81, 6 Na 2.97
Cd2 0.5000 0.3333 0.6667  3 Pt 2.81, 6 Na 2.97
Ga1 0.0000 0.0000 0.0000  6 Pt 2.62, 3 Na 2.89